# BeIn3Ga

A geometry-optimized BeIn3Ga structure (PBE, Alexandria).

Cell: 5.3073 5.3073 5.3073 Å, 90.00 90.00 90.00°
With the nearest neighbours (Å) after each atom.
Element x y z (fractional)
Be  0.0000  0.0000  0.0000  12 In 3.75
In  0.0000  0.5000  0.5000  2 Ga 2.65
In  0.5000  0.0000  0.5000  2 Ga 2.65
In  0.5000  0.5000  0.0000  2 Ga 2.65
Ga  0.5000  0.5000  0.5000  6 In 2.65

Summary:
The value obtained for the density of states at the Fermi level is 1.75 states/eV per cell. The calculation puts the formation energy at 382 kJ/mol of formula units. The energy above the lowest structure with this stoichiometry is 0.4581 eV per atom. As for the crystal system: cubic.